Zn2HCS: relaxed, PBE-GGA.

Results
- SG: No. 123
- Electronic total energy: -2.728 eV/atom

Geometry as POSCAR:
```
Zn2HCS
1.0
4.651 0.000 0.000
0.000 3.020 0.000
0.000 0.000 4.651
C H Zn S
1 1 2 1
Direct
0.500 0.500 0.500 C
0.000 0.500 0.000 H
0.000 0.000 0.500 Zn
0.500 0.000 0.000 Zn
0.000 0.000 0.000 S
```